## K6CoF8 (GGA+U)

Data for crystalline K6CoF8 at its relaxed geometry.

Cell and atoms, written as CIF:
```
data_K6CoF8
_chemical_formula_sum 'K6 Co1 F8'
_cell_length_a 6.807
_cell_length_b 6.807
_cell_length_c 6.807
_cell_angle_alpha 69.94
_cell_angle_beta 69.94
_cell_angle_gamma 69.94
_symmetry_space_group_name_H-M 'P 1'
_symmetry_Int_Tables_number 1
loop_
_symmetry_equiv_pos_as_xyz
'x,y,z'
loop_
_atom_site_label
_atom_site_fract_x
_atom_site_fract_y
_atom_site_fract_z
K1 0.015 0.795 0.440
K2 0.205 0.560 0.985
K3 0.440 0.015 0.795
K4 0.560 0.985 0.205
K5 0.795 0.440 0.015
K6 0.985 0.205 0.560
Co1 0.500 0.500 0.500
F1 0.157 0.157 0.157
F2 0.206 0.410 0.648
F3 0.352 0.794 0.590
F4 0.410 0.648 0.206
F5 0.590 0.352 0.794
F6 0.648 0.206 0.410
F7 0.794 0.590 0.352
F8 0.843 0.843 0.843
```

Crystal system = trigonal
Space-group type = R-3 (148)
Raw total energy = -4.363 eV per atom
Calculated volume = 17.940 Å³/atom